Compound: Ta3Pd
Source: Alexandria
Functional: PBE-GGA
Structure: optimized geometry

The size of the total moment comes out at 0.000 μB/atom. The crystal system is cubic. For the total energy, the calculation gives -40.8 eV for the cell shown.

Cell lengths 4.125, 4.125, 4.125 Å; angles 90.00, 90.00, 90.00 degrees
Fractional coordinates of all 4 atoms:
Ta 0.000 0.000 0.500
Ta 0.000 0.500 0.000
Ta 0.500 0.000 0.000
Pd 0.500 0.500 0.500